A relaxed TiCd2Bi2 crystal. Source: Alexandria, functional PBE.

Energy above the most stable polymorph in this dataset, kJ per mole of atoms: 0.0
Theoretical density, g cm⁻³: 8.6
Density of states at the Fermi level, states/eV/f.u.: 3.8
Formation energy, eV per formula unit: 1.2
V, Å³/cell: 266
E, eV per atom: -3.265
Total magnetization, μB per formula unit: 0.00

Geometry as POSCAR:
```
TiCd2Bi2
1.0
7.680 0.000 0.000
0.000 7.680 0.000
0.000 0.000 4.508
Ti Cd Bi
2 4 4
direct
0.000 0.000 0.000
0.500 0.500 0.000
0.149 0.351 0.500
0.351 0.851 0.500
0.649 0.149 0.500
0.851 0.649 0.500
0.163 0.663 0.000
0.337 0.163 0.000
0.663 0.837 0.000
0.837 0.337 0.000
```

***

A relaxed CSe2 crystal. Source: Alexandria, functional PBE.

Energy above the most stable polymorph in this dataset, kJ per mole of atoms: 63.3
Theoretical density, g cm⁻³: 5.5
ΔE_f (raw), kJ/mol of formula units: 352
Density of states at the Fermi level, states/eV/f.u.: 0.8
V, Å³/cell: 103
E, eV per atom: -4.181
Total magnetization, μB per formula unit: 0.00

Geometry as POSCAR:
```
CSe2
1.0
4.340 0.000 0.000
0.000 4.340 0.000
0.000 0.000 5.480
C Se
2 4
direct
0.250 0.250 0.125
0.750 0.750 0.875
0.250 0.250 0.478
0.250 0.750 0.000
0.750 0.250 0.000
0.750 0.750 0.522
```

***

A relaxed ZrAlCu crystal. Source: Alexandria, functional PBE.

Theoretical density, g cm⁻³: 5.5
Density of states at the Fermi level, states/eV/f.u.: 1.4
Formation energy, eV per formula unit: -0.1
V, Å³/cell: 219
E, eV per atom: -5.509
Total magnetization, μB per formula unit: 0.00

Geometry as POSCAR:
```
ZrAlCu
1.0
4.449 0.000 0.000
0.000 16.304 0.000
0.000 0.000 3.026
Zr Al Cu
4 4 4
direct
0.250 0.123 0.001
0.250 0.377 0.001
0.750 0.623 0.999
0.750 0.877 0.999
0.250 0.537 0.500
0.250 0.963 0.500
0.750 0.037 0.500
0.750 0.463 0.500
0.250 0.682 0.494
0.250 0.818 0.494
0.750 0.182 0.506
0.750 0.318 0.506
```

***

A relaxed Sr2GaNi2 crystal. Source: Alexandria, functional PBE.

Theoretical density, g cm⁻³: 5.1
Density of states at the Fermi level, states/eV/f.u.: 4.7
Formation energy, eV per formula unit: 0.3
V, Å³/cell: 117
E, eV per atom: -3.524
Total magnetization, μB per formula unit: 0.44

Geometry as POSCAR:
```
Sr2GaNi2
1.0
-1.741 1.741 9.642
1.741 -1.741 9.642
1.741 1.741 -9.642
Sr Ga Ni
2 1 2
direct
0.119 0.119 0.000
0.881 0.881 0.000
0.500 0.500 0.000
0.250 0.750 0.500
0.750 0.250 0.500
```

***

A relaxed Pm7YSn2 crystal. Source: Alexandria, functional PBE.

Theoretical density, g cm⁻³: 5.4
Density of states at the Fermi level, states/eV/f.u.: 21.0
Formation energy, eV per formula unit: 1.6
V, Å³/cell: 410
E, eV per atom: -4.609
Total magnetization, μB per formula unit: 0.00

Geometry as POSCAR:
```
Pm7YSn2
1.0
4.638 -7.862 0.000
4.638 7.862 0.000
0.000 0.000 5.626
Pm Y Sn
7 1 2
direct
0.000 0.000 0.000
0.195 0.443 0.000
0.270 0.730 0.500
0.443 0.195 0.000
0.557 0.805 0.000
0.730 0.270 0.500
0.805 0.557 0.000
0.500 0.500 0.500
0.197 0.803 0.000
0.803 0.197 0.000
```

***

A relaxed NdTm2Cu crystal. Source: Alexandria, functional PBE.

Energy above the most stable polymorph in this dataset, kJ per mole of atoms: 0.0
Theoretical density, g cm⁻³: 8.6
Density of states at the Fermi level, states/eV/f.u.: 4.4
Formation energy, eV per formula unit: -0.5
V, Å³/cell: 105
E, eV per atom: -4.568
Total magnetization, μB per formula unit: 0.00

Geometry as POSCAR:
```
NdTm2Cu
1.0
3.474 0.000 0.000
0.000 3.474 0.000
0.000 0.000 8.706
Nd Tm Cu
1 2 1
direct
0.000 0.000 0.000
0.500 0.500 0.309
0.500 0.500 0.691
0.000 0.000 0.500
```

***

- What is the formula in the sixth record?
  NdTm2Cu